Computed, not measured: a relaxed structure of Y4PdRu at the PBE-GGA level of DFT.

POSCAR file:
```
Y4PdRu
1.0
0.0311 -6.8767 0.2140
3.2221 0.8149 6.0205
-7.7270 3.1046 0.1376
Ru Y Pd
2 8 2
Cartesian
-1.5067 -5.1390 0.9768 Ru
-2.9672 2.1818 5.3953 Ru
-0.7297 0.6773 5.9166 Y
-6.9133 -3.3246 1.7957 Y
0.7876 -2.9908 1.5567 Y
2.4394 0.3675 4.5765 Y
-3.7442 -3.6344 0.4555 Y
-2.0953 -3.2275 3.4456 Y
-5.2615 0.0336 4.8155 Y
-2.3786 0.2703 2.9266 Y
0.0958 -1.2933 3.8764 Pd
-4.5697 -1.6639 2.4958 Pd
```

Symmetry: C2/c, No. 15
Energy above the most stable polymorph in this dataset in kJ per mole of atoms: 8.74


Computed, not measured: a relaxed structure of Y2Pd2Ru at the PBE-GGA level of DFT.

POSCAR file:
```
Y2Pd2Ru
1.0
-0.8789 2.9820 -6.5652
0.2470 -6.5974 -3.0297
-3.8603 -0.3159 0.3733
Pd Y Ru
4 4 2
Cartesian
-0.1108 -4.6392 -5.0723 Pd
-0.5211 1.0237 -4.5226 Pd
-0.6099 -1.5547 -7.6231 Pd
-0.0220 -2.0607 -1.9718 Pd
-1.9199 -4.1051 -3.0489 Y
-2.1677 -0.3849 -2.4619 Y
-2.5722 0.1737 -6.1727 Y
-2.3245 -3.5465 -6.7597 Y
0.0000 0.0000 0.0000 Ru
-0.3160 -1.8077 -4.7974 Ru
```

Symmetry: P4/mbm, No. 127
Final energy in eV per atom: -7.001


Computed, not measured: a relaxed structure of Y4PdRu at the PBE-GGA level of DFT.

POSCAR file:
```
Y4PdRu
1.0
-2.0524 -2.2130 5.5490
-2.6436 -5.3906 -4.2840
7.2328 -0.8105 1.1954
Y Pd Ru
8 2 2
Cartesian
-0.5311 -5.2776 -3.4466 Y
2.0241 -6.0331 3.4402 Y
4.8658 -3.4055 2.8915 Y
-2.3289 -5.0086 -0.4310 Y
0.5128 -2.3810 -0.9797 Y
1.5597 -5.6178 -0.1613 Y
3.0680 -3.1365 5.9071 Y
0.9771 -2.7963 2.6218 Y
3.0390 -3.0706 0.5406 Pd
-0.5022 -5.3434 1.9198 Pd
-3.1454 -5.9386 -2.8904 Ru
5.6822 -2.4755 5.3509 Ru
```

Symmetry: C2/c, No. 15
Energy above the most stable polymorph in this dataset in kJ per mole of atoms: 0.00


Computed, not measured: a relaxed structure of Y3PdRu at the PBE-GGA level of DFT.

POSCAR file:
```
Y3PdRu
1.0
7.7800 0.0001 2.1069
0.0001 7.3577 0.0000
0.6117 0.0001 8.6526
Ru Y Pd
4 12 4
Cartesian
3.9072 6.0118 6.0292 Ru
7.7970 5.0249 7.0827 Ru
4.4846 1.3461 4.7302 Ru
0.5948 2.3330 3.6767 Ru
2.5522 3.7218 5.2535 Y
0.7285 5.9642 7.4520 Y
7.4562 2.5372 8.5727 Y
4.6187 5.0726 8.5054 Y
0.9356 4.8207 2.1867 Y
3.5660 1.1418 7.5193 Y
7.6633 1.3937 3.3075 Y
5.8396 3.6361 5.5060 Y
4.8258 6.2161 3.2401 Y
3.7731 2.2853 2.2540 Y
6.4422 7.3150 6.3069 Y
1.9496 0.0429 4.4526 Y
5.9453 0.2636 9.3393 Pd
2.4465 7.0943 1.4201 Pd
6.3364 3.9423 2.4735 Pd
2.0554 3.4156 8.2859 Pd
```

Symmetry: P2_1/c, No. 14
Energy above the most stable polymorph in this dataset in kJ per mole of atoms: 0.00